Material: Ba2In2Hg15
Method: DFT, PBE
State: optimized geometry

abc: 10.3672 10.3672 17.3053
angles: 90.00 90.00 120.00
Space group R-3m (No. 166, hexagonal axes)
Asymmetric unit:
Ba (0.0000, 0.0000, 0.1868)
In (0.0000, 0.0000, 0.4051)
Hg (0.0000, 0.2940, 0.5000)
Hg (0.0000, 0.5000, 0.0000)
Hg (0.0343, 0.5171, 0.6295)

Formation enthalpy at 0 K in eV per atom: -0.1846
Electronic total energy in eV per atom: -0.91